A geometry-optimized CoSnC4Cl3O4 structure, computed with PBE+U.

Cell lengths 10.0660, 10.0660, 9.1951 Å; angles 90.00, 90.00, 120.00 degrees
Space group R3 (No. 146, hexagonal axes)
One atom of each set of equivalent atoms:
Co 0.0000 0.0000 0.0000 [3 per cell]
Sn 0.0000 0.0000 0.2712 [3 per cell]
C 0.0000 0.0000 0.8078 [3 per cell]
C 0.1897 0.7190 0.6836 [9 per cell]
Cl 0.0066 0.2151 0.3771 [9 per cell]
O 0.0000 0.0000 0.6826 [3 per cell]
O 0.0964 0.7535 0.6915 [9 per cell]

Summary:
- Total moment: 0.00 Bohr magnetons per cell
- VASP energy: -0.2266 Ha/atom